(1)
# PBE-GGA YPuHg6, optimized geometry
data_YPuHg6
_chemical_formula_sum 'Y2 Pu2 Hg12'
_cell_length_a 5.093
_cell_length_b 6.686
_cell_length_c 11.573
_cell_angle_alpha 90.00
_cell_angle_beta 90.00
_cell_angle_gamma 90.00
_symmetry_space_group_name_H-M 'A m m 2'
_symmetry_Int_Tables_number 38
loop_
_symmetry_equiv_pos_as_xyz
'x,y,z'
'-x,-y,z'
'-x,y,z'
'x,-y,z'
'x,y+1/2,z+1/2'
'-x,-y+1/2,z+1/2'
'-x,y+1/2,z+1/2'
'x,-y+1/2,z+1/2'
loop_
_atom_site_label
_atom_site_fract_x
_atom_site_fract_y
_atom_site_fract_z
Y1 0.000 0.000 0.000
Pu1 0.500 0.000 0.667
Hg1 0.000 0.000 0.499
Hg2 0.000 0.248 0.251
Hg3 0.500 0.000 0.167
Hg4 0.500 0.249 0.417
# Final energy ... -3.07 eV per atom
# Crystal system ... orthorhombic
# E_form ... -185 kJ/mol of formula units

(2)
# PBE-GGA TbPm6Dy3Th2, optimized geometry
data_TbPm6Dy3Th2
_chemical_formula_sum 'Tb2 Pm12 Dy6 Th4'
_cell_length_a 6.245
_cell_length_b 10.800
_cell_length_c 11.977
_cell_angle_alpha 90.00
_cell_angle_beta 100.01
_cell_angle_gamma 90.00
_symmetry_space_group_name_H-M 'C 1 2/m 1'
_symmetry_Int_Tables_number 12
loop_
_symmetry_equiv_pos_as_xyz
'x,y,z'
'-x,-y,-z'
'-x,y,-z'
'x,-y,z'
'x+1/2,y+1/2,z'
'-x+1/2,-y+1/2,-z'
'-x+1/2,y+1/2,-z'
'x+1/2,-y+1/2,z'
loop_
_atom_site_label
_atom_site_fract_x
_atom_site_fract_y
_atom_site_fract_z
Tb1 0.000 0.000 0.000
Pm1 0.246 0.500 0.249
Pm2 0.249 0.332 0.752
Dy1 0.000 0.167 0.500
Dy2 0.000 0.500 0.500
Th1 0.000 0.334 0.000
# Final energy ... -5.11 eV per atom
# Crystal system ... monoclinic
# E_form ... 42 kJ/mol of formula units

(3)
# PBE-GGA KSr2Tl2, optimized geometry
data_KSr2Tl2
_chemical_formula_sum 'K2 Sr4 Tl4'
_cell_length_a 6.363
_cell_length_b 6.363
_cell_length_c 10.691
_cell_angle_alpha 90.00
_cell_angle_beta 90.00
_cell_angle_gamma 90.00
_symmetry_space_group_name_H-M 'I 4/m m m'
_symmetry_Int_Tables_number 139
_symmetry_space_group_name_Hall '-I 4 2'
loop_
_atom_site_label
_atom_site_fract_x
_atom_site_fract_y
_atom_site_fract_z
K1 0.000 0.000 0.000
Sr1 0.000 0.500 0.250
Tl1 0.000 0.000 0.365
# Final energy ... -1.98 eV per atom
# Crystal system ... tetragonal
# E_form ... -69 kJ/mol of formula units
# Energy relative to the lowest polymorph listed for this composition ... 2.59 kcal/mol of atoms

(4)
# PBE-GGA LiPb2S3, optimized geometry
data_LiPb2S3
_chemical_formula_sum 'Li2 Pb4 S6'
_cell_length_a 5.666
_cell_length_b 12.161
_cell_length_c 4.070
_cell_angle_alpha 90.00
_cell_angle_beta 90.00
_cell_angle_gamma 90.00
_symmetry_space_group_name_H-M 'I m m 2'
_symmetry_Int_Tables_number 44
loop_
_symmetry_equiv_pos_as_xyz
'x,y,z'
'-x,-y,z'
'-x,y,z'
'x,-y,z'
'x+1/2,y+1/2,z+1/2'
'-x+1/2,-y+1/2,z+1/2'
'-x+1/2,y+1/2,z+1/2'
'x+1/2,-y+1/2,z+1/2'
loop_
_atom_site_label
_atom_site_fract_x
_atom_site_fract_y
_atom_site_fract_z
Li1 0.000 0.000 0.000
Pb1 0.000 0.334 0.998
S1 0.000 0.160 0.497
S2 0.000 0.500 0.498
# Final energy ... -4.21 eV per atom
# Crystal system ... orthorhombic

(5)
# PBE-GGA TiTc8C2, optimized geometry
data_TiTc8C2
_chemical_formula_sum 'Ti2 Tc16 C4'
_cell_length_a 9.777
_cell_length_b 7.837
_cell_length_c 4.086
_cell_angle_alpha 90.00
_cell_angle_beta 93.11
_cell_angle_gamma 90.00
_symmetry_space_group_name_H-M 'C 1 2/m 1'
_symmetry_Int_Tables_number 12
loop_
_symmetry_equiv_pos_as_xyz
'x,y,z'
'-x,-y,-z'
'-x,y,-z'
'x,-y,z'
'x+1/2,y+1/2,z'
'-x+1/2,-y+1/2,-z'
'-x+1/2,y+1/2,-z'
'x+1/2,-y+1/2,z'
loop_
_atom_site_label
_atom_site_fract_x
_atom_site_fract_y
_atom_site_fract_z
Ti1 0.000 0.000 0.000
Tc1 0.088 0.500 0.767
Tc2 0.102 0.261 0.278
Tc3 0.218 0.000 0.725
C1 0.196 0.000 0.236
# Final energy ... -9.57 eV per atom
# Crystal system ... monoclinic
# E_form ... 387 kJ/mol of formula units

(6)
# PBE-GGA CaBeInAu6, optimized geometry
data_CaBeInAu6
_chemical_formula_sum 'Ca1 Be1 In1 Au6'
_cell_length_a 5.5977
_cell_length_b 5.5977
_cell_length_c 6.6206
_cell_angle_alpha 90.00
_cell_angle_beta 90.00
_cell_angle_gamma 120.00
_symmetry_space_group_name_H-M 'P -6'
_symmetry_Int_Tables_number 174
loop_
_symmetry_equiv_pos_as_xyz
'x,y,z'
'-x+y,-x,-z'
'-y,x-y,z'
'x,y,-z'
'-x+y,-x,z'
'-y,x-y,-z'
loop_
_atom_site_label
_atom_site_fract_x
_atom_site_fract_y
_atom_site_fract_z
Ca1 0.0000 0.0000 0.0000
Be1 0.3333 0.6667 0.5000
In1 0.0000 0.0000 0.5000
Au1 0.5010 0.4975 0.2406
# Final energy ... -3.41 eV per atom
# Crystal system ... hexagonal
# E_form ... -251 kJ/mol of formula units

(7)
# PBE-GGA BaBeO, optimized geometry
data_BaBeO
_chemical_formula_sum 'Ba4 Be4 O4'
_cell_length_a 6.529
_cell_length_b 3.705
_cell_length_c 9.859
_cell_angle_alpha 90.00
_cell_angle_beta 90.00
_cell_angle_gamma 90.00
_symmetry_space_group_name_H-M 'P n m a'
_symmetry_Int_Tables_number 62
loop_
_symmetry_equiv_pos_as_xyz
'x,y,z'
'-x,-y,-z'
'-x+1/2,-y,z+1/2'
'x+1/2,y,-z+1/2'
'x+1/2,-y+1/2,-z+1/2'
'-x+1/2,y+1/2,z+1/2'
'-x,y+1/2,-z'
'x,-y+1/2,z'
loop_
_atom_site_label
_atom_site_fract_x
_atom_site_fract_y
_atom_site_fract_z
Ba1 0.061 0.250 0.188
Be1 0.094 0.750 0.460
O1 0.225 0.250 0.866
# Final energy ... -4.98 eV per atom
# Crystal system ... orthorhombic

(8)
# PBE-GGA AlRe2Os, optimized geometry
data_AlRe2Os
_chemical_formula_sum 'Al2 Re4 Os2'
_cell_length_a 9.256
_cell_length_b 2.887
_cell_length_c 4.663
_cell_angle_alpha 90.00
_cell_angle_beta 108.98
_cell_angle_gamma 90.00
_symmetry_space_group_name_H-M 'C 1 m 1'
_symmetry_Int_Tables_number 8
loop_
_symmetry_equiv_pos_as_xyz
'x,y,z'
'x,-y,z'
'x+1/2,y+1/2,z'
'x+1/2,-y+1/2,z'
loop_
_atom_site_label
_atom_site_fract_x
_atom_site_fract_y
_atom_site_fract_z
Al1 0.000 0.000 0.000
Re1 0.239 0.000 0.643
Re2 0.491 0.000 0.502
Os1 0.246 0.500 0.131
# Final energy ... -9.99 eV per atom
# Crystal system ... monoclinic
# E_form ... -9 kJ/mol of formula units

Copy entry 5 word for word.
# PBE-GGA TiTc8C2, optimized geometry
data_TiTc8C2
_chemical_formula_sum 'Ti2 Tc16 C4'
_cell_length_a 9.777
_cell_length_b 7.837
_cell_length_c 4.086
_cell_angle_alpha 90.00
_cell_angle_beta 93.11
_cell_angle_gamma 90.00
_symmetry_space_group_name_H-M 'C 1 2/m 1'
_symmetry_Int_Tables_number 12
loop_
_symmetry_equiv_pos_as_xyz
'x,y,z'
'-x,-y,-z'
'-x,y,-z'
'x,-y,z'
'x+1/2,y+1/2,z'
'-x+1/2,-y+1/2,-z'
'-x+1/2,y+1/2,-z'
'x+1/2,-y+1/2,z'
loop_
_atom_site_label
_atom_site_fract_x
_atom_site_fract_y
_atom_site_fract_z
Ti1 0.000 0.000 0.000
Tc1 0.088 0.500 0.767
Tc2 0.102 0.261 0.278
Tc3 0.218 0.000 0.725
C1 0.196 0.000 0.236
# Final energy ... -9.57 eV per atom
# Crystal system ... monoclinic
# E_form ... 387 kJ/mol of formula units

Which of these has the lowest final energy? AlRe2Os

What did the first record say?
# PBE-GGA YPuHg6, optimized geometry
data_YPuHg6
_chemical_formula_sum 'Y2 Pu2 Hg12'
_cell_length_a 5.093
_cell_length_b 6.686
_cell_length_c 11.573
_cell_angle_alpha 90.00
_cell_angle_beta 90.00
_cell_angle_gamma 90.00
_symmetry_space_group_name_H-M 'A m m 2'
_symmetry_Int_Tables_number 38
loop_
_symmetry_equiv_pos_as_xyz
'x,y,z'
'-x,-y,z'
'-x,y,z'
'x,-y,z'
'x,y+1/2,z+1/2'
'-x,-y+1/2,z+1/2'
'-x,y+1/2,z+1/2'
'x,-y+1/2,z+1/2'
loop_
_atom_site_label
_atom_site_fract_x
_atom_site_fract_y
_atom_site_fract_z
Y1 0.000 0.000 0.000
Pu1 0.500 0.000 0.667
Hg1 0.000 0.000 0.499
Hg2 0.000 0.248 0.251
Hg3 0.500 0.000 0.167
Hg4 0.500 0.249 0.417
# Final energy ... -3.07 eV per atom
# Crystal system ... orthorhombic
# E_form ... -185 kJ/mol of formula units

Number 4 is which compound? LiPb2S3